Entry from the Alexandria database: a relaxed structure of LaPrTh3 (PBE-GGA).

abc: 6.064 12.003 8.385
angles: 135.70 111.20 90.00
Element x y z (fractional)
La: 0.500 0.000 0.000
La: 0.000 0.500 0.000
Pr: 0.705 0.750 0.500
Pr: 0.295 0.250 0.500
Th: 0.670 0.170 0.839
Th: 0.670 0.670 0.839
Th: 0.330 0.330 0.161
Th: 0.330 0.830 0.161
Th: 0.000 0.500 0.500
Th: 0.000 0.000 0.500

Summary:
Energy of formation: 0.316 eV/atom
Crystal system: orthorhombic

***

Entry from the Alexandria database: a relaxed structure of La2Pr3Th (PBE-GGA).

abc: 7.194 9.317 7.199
angles: 101.11 90.00 112.71
Element x y z (fractional)
La: 0.343 0.683 0.421
La: 0.340 0.683 0.921
La: 0.660 0.317 0.079
La: 0.657 0.317 0.579
Pr: 0.742 0.000 0.750
Pr: 0.258 0.000 0.250
Pr: 0.852 0.707 0.927
Pr: 0.145 0.293 0.573
Pr: 0.855 0.707 0.427
Pr: 0.148 0.293 0.073
Th: 0.743 0.000 0.250
Th: 0.257 0.000 0.750

Summary:
Relative energy among the computed polymorphs: 0.053 eV per atom
Energy of formation: 0.125 eV/atom
Crystal system: monoclinic

***

Entry from the Alexandria database: a relaxed structure of La4Pr15Th (PBE-GGA).

abc: 5.251 5.251 26.307
angles: 90.00 90.00 90.00
Element x y z (fractional)
La: 0.000 0.000 0.199
La: 0.000 0.000 0.400
La: 0.000 0.000 0.600
La: 0.000 0.000 0.801
Pr: 0.500 0.500 0.000
Pr: 0.500 0.500 0.199
Pr: 0.500 0.500 0.399
Pr: 0.500 0.500 0.601
Pr: 0.500 0.500 0.801
Pr: 0.500 0.000 0.096
Pr: 0.500 0.000 0.299
Pr: 0.500 0.000 0.500
Pr: 0.500 0.000 0.701
Pr: 0.500 0.000 0.904
Pr: 0.000 0.500 0.096
Pr: 0.000 0.500 0.299
Pr: 0.000 0.500 0.500
Pr: 0.000 0.500 0.701
Pr: 0.000 0.500 0.904
Th: 0.000 0.000 0.000

Summary:
Energy of formation: 0.023 eV/atom
Crystal system: tetragonal

***

Entry from the Alexandria database: a relaxed structure of La8Pr4Th (PBE-GGA).

abc: 7.978 7.978 7.978
angles: 97.05 97.05 97.05
Element x y z (fractional)
La: 0.171 0.673 0.171
La: 0.829 0.829 0.327
La: 0.829 0.327 0.829
La: 0.327 0.829 0.829
La: 0.761 0.761 0.761
La: 0.239 0.239 0.239
La: 0.673 0.171 0.171
La: 0.171 0.171 0.673
Pr: 0.500 0.000 0.500
Pr: 0.000 0.500 0.500
Pr: 0.500 0.500 0.000
Pr: 0.000 0.000 0.000
Th: 0.500 0.500 0.500

Summary:
Energy of formation: 0.352 eV/atom
Crystal system: trigonal

***

Entry from the Alexandria database: a relaxed structure of LaPrTh (PBE-GGA).

abc: 3.650 3.650 18.137
angles: 90.00 90.00 120.00
Element x y z (fractional)
La: 0.333 0.667 0.917
La: 0.667 0.333 0.083
Pr: 0.000 0.000 0.741
Pr: 0.000 0.000 0.259
Th: 0.667 0.333 0.578
Th: 0.333 0.667 0.422

Summary:
Relative energy among the computed polymorphs: 0.007 eV per atom
Energy of formation: 0.025 eV/atom
Crystal system: trigonal

***

Entry from the Alexandria database: a relaxed structure of La8Pr5Th (PBE-GGA).

abc: 9.825 8.296 9.849
angles: 115.03 120.07 104.66
Element x y z (fractional)
La: 0.091 0.574 0.050
La: 0.023 0.086 0.700
La: 0.732 0.070 0.267
La: 0.651 0.571 0.911
La: 0.509 0.570 0.187
La: 0.443 0.057 0.835
La: 0.374 0.569 0.488
La: 0.953 0.572 0.348
Pr: 0.877 0.071 0.982
Pr: 0.162 0.082 0.420
Pr: 0.812 0.572 0.626
Pr: 0.588 0.073 0.554
Pr: 0.302 0.061 0.116
Th: 0.232 0.572 0.768

Summary:
Energy of formation: 0.020 eV/atom
Crystal system: triclinic

***

Entry from the Alexandria database: a relaxed structure of LaPr4Th (PBE-GGA).

abc: 3.675 12.270 10.522
angles: 115.45 90.00 90.00
Element x y z (fractional)
La: 0.500 0.500 0.500
La: 0.000 0.000 0.000
Pr: 0.500 0.163 0.341
Pr: 0.000 0.337 0.159
Pr: 0.500 0.837 0.659
Pr: 0.000 0.663 0.841
Pr: 0.000 0.665 0.325
Pr: 0.500 0.835 0.175
Pr: 0.000 0.335 0.675
Pr: 0.500 0.165 0.825
Th: 0.000 0.000 0.500
Th: 0.500 0.500 0.000

Summary:
Relative energy among the computed polymorphs: 0.000 eV per atom
Energy of formation: 0.042 eV/atom
Crystal system: monoclinic

***

Entry from the Alexandria database: a relaxed structure of La3Pr7Th2 (PBE-GGA).

abc: 3.672 6.046 20.260
angles: 104.31 90.00 90.00
Element x y z (fractional)
La: 0.000 0.864 0.636
La: 0.000 0.136 0.364
La: 0.500 0.500 0.000
Pr: 0.500 0.015 0.822
Pr: 0.500 0.985 0.178
Pr: 0.500 0.717 0.460
Pr: 0.500 0.283 0.540
Pr: 0.000 0.000 0.000
Pr: 0.000 0.544 0.855
Pr: 0.000 0.456 0.145
Th: 0.500 0.574 0.294
Th: 0.500 0.426 0.706

Summary:
Energy of formation: 0.121 eV/atom
Crystal system: monoclinic